# CaTeW2

CaTeW2 after structural relaxation (PBE, the Alexandria database).

a b c (Å): 4.786 4.786 4.786
angles (deg): 60.00 60.00 60.00
Site moments in Bohr magnetons follow the coordinates.
Element x y z (fractional)
W (0.250, 0.250, 0.250)  0.78
Te (0.500, 0.500, 0.500)  -0.01
Ca (0.000, 0.000, 0.000)  0.14
W (0.750, 0.750, 0.750)  0.78

Formation energy (no corrections) (eV per formula unit): 5.18
Energy (hartree per atom): -0.238

---

# CaZr2TeW

CaZr2TeW after structural relaxation (PBE, the Alexandria database).

a b c (Å): 4.971 5.162 4.971
angles (deg): 90.00 90.00 90.00
Element x y z (fractional)
W (0.500, 0.500, 0.500)
Zr (0.000, 0.000, 0.500)
Zr (0.500, 0.000, 0.000)
Ca (0.000, 0.000, 0.000)
Te (0.000, 0.500, 0.000)

Formation energy (no corrections) (eV per formula unit): 10.41
Energy (hartree per atom): -0.182

---

# Ca2Y3Te6

Ca2Y3Te6 after structural relaxation (PBE, the Alexandria database).

a b c (Å): 7.584 7.583 7.775
angles (deg): 80.62 70.98 59.99
Element x y z (fractional)
Te (0.085, 0.330, 0.755)
Ca (0.166, 0.667, 0.500)
Te (0.745, 0.000, 0.756)
Te (0.915, 0.670, 0.245)
Te (0.585, 0.330, 0.245)
Te (0.255, 0.000, 0.244)
Y (0.668, 0.665, 0.000)
Y (0.000, 0.000, 0.000)
Te (0.415, 0.670, 0.755)
Y (0.332, 0.335, 0.000)
Ca (0.834, 0.333, 0.500)

Formation energy (no corrections) (eV per formula unit): -16.60
Energy (hartree per atom): -0.197

---

# Ca3YTe

Ca3YTe after structural relaxation (PBE, the Alexandria database).

a b c (Å): 5.936 5.936 5.936
angles (deg): 90.00 90.00 90.00
Site moments in Bohr magnetons follow the coordinates.
Element x y z (fractional)
Y (0.500, 0.500, 0.500)  0.21
Te (0.000, 0.000, 0.000)  0.00
Ca (0.000, 0.000, 0.500)  0.04
Ca (0.500, 0.000, 0.000)  0.03
Ca (0.000, 0.500, 0.000)  0.03

Formation energy (no corrections) (eV per formula unit): -0.87
Energy (hartree per atom): -0.121

---

# CaY3Te

CaY3Te after structural relaxation (PBE, the Alexandria database).

a b c (Å): 5.605 5.605 5.605
angles (deg): 90.00 90.00 90.00
Element x y z (fractional)
Te (0.500, 0.500, 0.500)
Y (0.000, 0.500, 0.000)
Y (0.500, 0.000, 0.000)
Ca (0.000, 0.000, 0.000)
Y (0.000, 0.000, 0.500)

Formation energy (no corrections) (eV per formula unit): 3.83
Energy (hartree per atom): -0.152

---

# CaY2Te2

CaY2Te2 after structural relaxation (PBE, the Alexandria database).

a b c (Å): 8.427 8.427 4.049
angles (deg): 90.00 90.00 90.00
Element x y z (fractional)
Te (0.853, 0.647, 0.000)
Te (0.353, 0.853, 0.000)
Te (0.147, 0.353, 0.000)
Ca (0.500, 0.500, 0.000)
Ca (0.000, 0.000, 0.000)
Y (0.851, 0.351, 0.500)
Y (0.649, 0.851, 0.500)
Te (0.647, 0.147, 0.000)
Y (0.149, 0.649, 0.500)
Y (0.351, 0.149, 0.500)

Formation energy (no corrections) (eV per formula unit): -5.24
Energy (hartree per atom): -0.194

---

# CaYTe

CaYTe after structural relaxation (PBE, the Alexandria database).

a b c (Å): 5.146 5.146 5.146
angles (deg): 60.00 60.00 60.00
Site moments in Bohr magnetons follow the coordinates.
Element x y z (fractional)
Y (0.000, 0.000, 0.000)  0.42
Te (0.750, 0.750, 0.750)  -0.01
Ca (0.500, 0.500, 0.500)  0.12

Formation energy (no corrections) (eV per formula unit): -1.61
Energy (hartree per atom): -0.162

---

# Ca5YTe6

Ca5YTe6 after structural relaxation (PBE, the Alexandria database).

a b c (Å): 7.764 7.764 7.769
angles (deg): 99.60 99.60 119.98
Element x y z (fractional)
Te (0.754, 0.754, 0.248)
Te (0.411, 0.082, 0.247)
Ca (0.168, 0.832, 0.500)
Te (0.589, 0.918, 0.753)
Ca (0.334, 0.666, 0.000)
Ca (0.666, 0.334, 0.000)
Te (0.082, 0.411, 0.247)
Te (0.246, 0.246, 0.752)
Te (0.918, 0.589, 0.753)
Y (0.000, 0.000, 0.000)
Ca (0.832, 0.168, 0.500)
Ca (0.500, 0.500, 0.500)

Formation energy (no corrections) (eV per formula unit): -18.99
Energy (hartree per atom): -0.166

---

# CaY6Te8

CaY6Te8 after structural relaxation (PBE, the Alexandria database).

a b c (Å): 8.724 8.724 8.724
angles (deg): 60.00 60.00 60.00
Element x y z (fractional)
Te (0.743, 0.257, 0.743)
Y (0.500, 0.500, 0.000)
Y (0.000, 0.500, 0.500)
Te (0.743, 0.257, 0.257)
Y (0.500, 0.000, 0.000)
Te (0.257, 0.257, 0.743)
Te (0.257, 0.743, 0.257)
Te (0.743, 0.743, 0.257)
Te (0.250, 0.250, 0.250)
Y (0.000, 0.000, 0.500)
Te (0.257, 0.743, 0.743)
Y (0.500, 0.000, 0.500)
Ca (0.000, 0.000, 0.000)
Y (0.000, 0.500, 0.000)
Te (0.750, 0.750, 0.750)

Formation energy (no corrections) (eV per formula unit): -21.23
Energy (hartree per atom): -0.214

---

# CaYTe4

CaYTe4 after structural relaxation (PBE, the Alexandria database).

a b c (Å): 6.453 6.453 6.453
angles (deg): 60.00 60.00 60.00
Element x y z (fractional)
Te (0.375, 0.375, 0.375)
Ca (0.000, 0.000, 0.000)
Te (0.375, 0.375, 0.874)
Y (0.750, 0.750, 0.750)
Te (0.375, 0.874, 0.375)
Te (0.874, 0.375, 0.375)

Formation energy (no corrections) (eV per formula unit): -0.45
Energy (hartree per atom): -0.132

---

# CaYTe

CaYTe after structural relaxation (PBE, the Alexandria database).

a b c (Å): 7.012 7.012 3.857
angles (deg): 74.04 74.04 31.93
Site moments in Bohr magnetons follow the coordinates.
Element x y z (fractional)
Y (0.693, 0.693, 0.307)  0.23
Ca (0.984, 0.984, 0.016)  0.04
Te (0.322, 0.322, 0.678)  0.00

Formation energy (no corrections) (eV per formula unit): -2.39
Energy (hartree per atom): -0.171

---

# CaY3Te4

CaY3Te4 after structural relaxation (PBE, the Alexandria database).

a b c (Å): 4.369 7.622 7.622
angles (deg): 109.07 90.00 90.00
Element x y z (fractional)
Y (0.000, 0.500, 0.000)
Y (0.500, 0.500, 0.500)
Te (0.500, 0.250, 0.750)
Y (0.000, 0.000, 0.500)
Te (0.000, 0.252, 0.252)
Te (0.000, 0.748, 0.748)
Te (0.500, 0.750, 0.250)
Ca (0.500, 0.000, 0.000)

Formation energy (no corrections) (eV per formula unit): -11.09
Energy (hartree per atom): -0.207

---

# CaYTe3

CaYTe3 after structural relaxation (PBE, the Alexandria database).

a b c (Å): 5.831 5.831 5.831
angles (deg): 90.00 90.00 90.00
Element x y z (fractional)
Te (0.500, 0.000, 0.000)
Te (0.000, 0.000, 0.500)
Y (0.000, 0.000, 0.000)
Ca (0.500, 0.500, 0.500)
Te (0.000, 0.500, 0.000)

Formation energy (no corrections) (eV per formula unit): -4.04
Energy (hartree per atom): -0.161

---

# CaYTe

CaYTe after structural relaxation (PBE, the Alexandria database).

a b c (Å): 4.107 4.107 7.077
angles (deg): 90.00 90.00 120.00
Site moments in Bohr magnetons follow the coordinates.
Element x y z (fractional)
Y (0.667, 0.333, 0.615)  0.27
Te (0.333, 0.667, 0.340)  0.00
Ca (0.000, 0.000, 0.045)  0.01

Formation energy (no corrections) (eV per formula unit): -2.43
Energy (hartree per atom): -0.172

---

# Ca4YTe5

Ca4YTe5 after structural relaxation (PBE, the Alexandria database).

a b c (Å): 4.473 4.473 16.197
angles (deg): 97.94 97.94 90.00
Element x y z (fractional)
Te (0.902, 0.902, 0.804)
Ca (0.200, 0.200, 0.399)
Te (0.300, 0.300, 0.601)
Y (0.000, 0.000, 0.000)
Ca (0.599, 0.599, 0.199)
Ca (0.800, 0.800, 0.601)
Te (0.098, 0.098, 0.196)
Ca (0.401, 0.401, 0.801)
Te (0.700, 0.700, 0.399)
Te (0.500, 0.500, 0.000)

Formation energy (no corrections) (eV per formula unit): -15.75
Energy (hartree per atom): -0.169

---

# Ca2YTe2

Ca2YTe2 after structural relaxation (PBE, the Alexandria database).

a b c (Å): 8.374 8.374 4.314
angles (deg): 90.00 90.00 90.00
Element x y z (fractional)
Te (0.344, 0.844, 0.000)
Te (0.156, 0.344, 0.000)
Ca (0.153, 0.653, 0.500)
Ca (0.653, 0.847, 0.500)
Te (0.656, 0.156, 0.000)
Y (0.500, 0.500, 0.000)
Te (0.844, 0.656, 0.000)
Ca (0.847, 0.347, 0.500)
Y (0.000, 0.000, 0.000)
Ca (0.347, 0.153, 0.500)

Formation energy (no corrections) (eV per formula unit): -5.56
Energy (hartree per atom): -0.164

---

# Ca3Y4Te8

Ca3Y4Te8 after structural relaxation (PBE, the Alexandria database).

a b c (Å): 8.783 8.813 8.813
angles (deg): 90.16 119.69 119.69
Element x y z (fractional)
Y (0.500, 0.000, 0.000)
Y (0.000, 0.000, 0.500)
Y (0.000, 0.500, 0.000)
Te (0.500, 0.248, 0.752)
Te (0.503, 0.754, 0.754)
Te (0.000, 0.251, 0.749)
Te (0.497, 0.246, 0.246)
Y (0.000, 0.000, 0.000)
Te (0.004, 0.749, 0.749)
Ca (0.500, 0.000, 0.500)
Te (0.996, 0.251, 0.251)
Ca (0.500, 0.500, 0.500)
Ca (0.500, 0.500, 0.000)
Te (0.000, 0.749, 0.251)
Te (0.500, 0.752, 0.248)

Formation energy (no corrections) (eV per formula unit): -22.42
Energy (hartree per atom): -0.195

---

# CaY3Te

CaY3Te after structural relaxation (PBE, the Alexandria database).

a b c (Å): 5.764 5.764 5.764
angles (deg): 90.00 90.00 90.00
Element x y z (fractional)
Y (0.000, 0.500, 0.000)
Te (0.000, 0.000, 0.000)
Ca (0.500, 0.500, 0.500)
Y (0.500, 0.000, 0.000)
Y (0.000, 0.000, 0.500)

Formation energy (no corrections) (eV per formula unit): -0.83
Energy (hartree per atom): -0.186

---

# Ca2YTe3

Ca2YTe3 after structural relaxation (PBE, the Alexandria database).

a b c (Å): 4.435 6.301 7.729
angles (deg): 114.05 106.67 90.00
Element x y z (fractional)
Te (0.500, 0.000, 0.500)
Te (0.837, 0.337, 0.173)
Te (0.163, 0.663, 0.827)
Ca (0.168, 0.168, 0.836)
Ca (0.832, 0.832, 0.164)
Y (0.500, 0.500, 0.500)

Formation energy (no corrections) (eV per formula unit): -9.12
Energy (hartree per atom): -0.178

---

# CaYTe

CaYTe after structural relaxation (PBE, the Alexandria database).

a b c (Å): 5.144 5.144 4.348
angles (deg): 90.00 90.00 120.00
Element x y z (fractional)
Te (0.667, 0.333, 0.392)
Y (0.333, 0.667, 0.550)
Ca (0.000, 0.000, 0.058)

Formation energy (no corrections) (eV per formula unit): -1.65
Energy (hartree per atom): -0.162